# 1
{"formula": "AcBeSi", "functional": "GGA-PBE", "state": "optimized geometry", "e_above_lowest_polymorph_mev_per_atom": 288, "magnetic_moment_mub_per_cell": 0.0, "dos_at_fermi_per_ev_atom": 0.423, "formation_energy_uncorrected_ev_per_atom": -0.147, "lattice": [[3.908, 0.000, 0.000], [0.000, 7.952, 3.300], [0.000, -7.952, 3.300]], "species": ["Ac", "Ac", "Ac", "Be", "Be", "Be", "Si", "Si", "Si"], "frac_coords": [[0.000, 0.000, 0.000], [0.000, 0.171, 0.541], [0.000, 0.541, 0.171], [0.500, 0.381, 0.381], [0.500, 0.588, 0.738], [0.500, 0.738, 0.588], [0.000, 0.538, 0.538], [0.500, 0.097, 0.779], [0.500, 0.779, 0.097]]}

# 2
{"formula": "Ac2BeSi", "functional": "GGA-PBE", "state": "optimized geometry", "e_above_lowest_polymorph_mev_per_atom": 11, "magnetic_moment_mub_per_cell": 0.0, "dos_at_fermi_per_ev_atom": 0.886, "formation_energy_uncorrected_ev_per_atom": 0.005, "lattice": [[7.617, 0.000, 0.000], [0.000, 7.617, 0.000], [0.000, 0.000, 7.617]], "species": ["Ac", "Ac", "Ac", "Ac", "Ac", "Ac", "Ac", "Ac", "Be", "Be", "Be", "Be", "Si", "Si", "Si", "Si"], "frac_coords": [[0.250, 0.250, 0.250], [0.250, 0.250, 0.750], [0.250, 0.750, 0.250], [0.250, 0.750, 0.750], [0.750, 0.250, 0.250], [0.750, 0.250, 0.750], [0.750, 0.750, 0.250], [0.750, 0.750, 0.750], [0.000, 0.000, 0.000], [0.000, 0.500, 0.500], [0.500, 0.000, 0.500], [0.500, 0.500, 0.000], [0.000, 0.000, 0.500], [0.000, 0.500, 0.000], [0.500, 0.000, 0.000], [0.500, 0.500, 0.500]]}